# 1
Ca2ScOs: relaxed, PBE.

a = 4.2732 Å, b = 4.2732 Å, c = 4.9969 Å
α = 90.00°, β = 90.00°, γ = 90.00°
Fractional positions:
1 Ca 0.5000 0.5000 0.0000
2 Sc 0.0000 0.5000 0.5000
3 Os 0.5000 0.0000 0.5000
4 Ca 0.0000 0.0000 0.0000

For the magnetic moment, the calculation gives 0.0 μB per cell. As for the total energy: -20.04 eV/cell. As for the space group: No. 123.

# 2
MnZn2Fe: relaxed, PBE.

a = 8.8145 Å, b = 8.8145 Å, c = 8.8145 Å
α = 17.21°, β = 17.21°, γ = 17.21°
Last column: magnetic moment on the atom in μB.
Fractional positions:
1 Fe 0.2500 0.2500 0.2500  2.41
2 Mn 0.7500 0.7500 0.7500  2.57
3 Zn 0.5008 0.5008 0.5008  -0.04
4 Zn 0.9992 0.9992 0.9992  -0.04

For the magnetic moment, the calculation gives 5.0 μB per cell. As for the total energy: -19.68 eV/cell. As for the space group: No. 166.

# 3
Sr2TiNi: relaxed, PBE.

a = 11.3292 Å, b = 11.3292 Å, c = 8.3262 Å
α = 47.13°, β = 47.13°, γ = 90.00°
Last column: magnetic moment on the atom in μB.
Fractional positions:
1 Ti 0.2500 0.7500 0.5000  0.75
2 Ni 0.0000 0.0000 0.0000  -0.02
3 Sr 0.3750 0.2077 0.7500  0.01
4 Ni 0.7500 0.2500 0.5000  -0.02
5 Sr 0.7923 0.1250 0.2500  0.01
6 Ti 0.5000 0.5000 0.0000  0.75
7 Sr 0.9577 0.6250 0.2500  0.02
8 Sr 0.8750 0.0423 0.7500  0.02

For the magnetic moment, the calculation gives 2.3 μB per cell. As for the total energy: -30.73 eV/cell. As for the space group: No. 122.

# 4
CaPr2Nd: relaxed, PBE.

a = 5.9337 Å, b = 5.9337 Å, c = 5.9337 Å
α = 60.00°, β = 60.00°, γ = 60.00°
Fractional positions:
1 Pr 0.7500 0.7500 0.7500
2 Pr 0.2500 0.2500 0.2500
3 Ca 0.5000 0.5000 0.5000
4 Nd 0.0000 0.0000 0.0000

For the magnetic moment, the calculation gives 0.0 μB per cell. As for the total energy: -15.86 eV/cell. As for the space group: No. 225.